Density functional theory data (PBE-GGA) for an optimized crystal structure of NbAgO.

Cell: 3.536 3.536 9.910 Å, 90.00 90.00 120.00°
Fractional coordinates of all 6 atoms:
Nb (0.333, 0.667, 0.406)
Nb (0.667, 0.333, 0.594)
Ag (0.333, 0.667, 0.099)
Ag (0.667, 0.333, 0.901)
O (0.333, 0.667, 0.634)
O (0.667, 0.333, 0.366)

Summary:
Formation energy (no corrections): -0.70 eV/atom
Total magnetization: 0.00 Bohr magnetons per cell
Calculated total energy: -6.6629 eV/atom
SG: P-3m1, No. 164